10
Lattice="7.0274 0.0000 0.0000 0.0000 7.5737 0.0000 -1.7808 0.0000 7.1597" Properties=species:S:1:pos:R:3 comment="ScHgBr3 PBE optimized geometry" dos_ef_per_ev_cell=0.00 crystal_system=monoclinic spacegroup="P2_1/m (11)" e_above_lowest_polymorph_ev_per_atom=0.056 pbc="T T T"
Sc -0.5895 1.8934 3.2759
Sc 5.8361 5.6802 3.8838
Hg 1.0758 5.6802 1.6039
Hg 4.1707 1.8934 5.5558
Br 1.1424 1.8934 1.5282
Br 0.4046 0.0027 4.8780
Br 0.4046 3.7841 4.8780
Br 4.8419 7.5710 2.2817
Br 4.8419 3.7895 2.2817
Br 4.1042 5.6802 5.6315